No. 1
A plane-wave DFT calculation with PBE was carried out for an optimized crystal structure of KP2Pt3.

Properties
Space group: R-3m, No. 166
Calculated total energy: -5.26 eV per atom
Excess energy over the best structure of this formula in the dataset: 242.4 meV/atom
Density of states at the Fermi level: 3.89 states/eV/cell
Energy relative to the elements: -1.5 eV/f.u.

```
12
Lattice="4.147 2.394 5.963 -4.147 2.394 5.963 0.000 -4.788 5.963" Properties=species:S:1:pos:R:3 pbc="T T T"
K 0.000 0.000 3.155
K 0.000 0.000 14.733
P 0.000 0.000 0.000
P -2.073 -1.197 5.963
P -2.073 1.197 11.926
P 0.000 2.394 5.963
Pt 0.000 -2.064 5.962
Pt -1.787 1.032 5.962
Pt -1.787 -1.032 11.927
Pt 1.787 1.032 5.962
Pt 1.787 -1.032 11.927
Pt 0.000 2.064 11.927
```

---

No. 2
A plane-wave DFT calculation with PBE was carried out for an optimized crystal structure of K4PPt.

Properties
Space group: F-43m, No. 216
Calculated total energy: -2.06 eV per atom
Density of states at the Fermi level: 4.42 states/eV/cell
Energy relative to the elements: 3.5 eV/f.u.

```
6
Lattice="0.000 4.419 4.419 4.419 0.000 4.419 4.419 4.419 0.000" Properties=species:S:1:pos:R:3 pbc="T T T"
K 1.104 1.104 1.104
K 3.315 3.315 1.104
K 3.315 1.104 3.315
K 1.104 3.315 3.315
P 6.629 6.629 6.629
Pt 4.419 4.419 4.419
```

---

No. 3
A plane-wave DFT calculation with PBE was carried out for an optimized crystal structure of KP2Pt3.

Properties
Space group: C2/m, No. 12
Calculated total energy: -5.50 eV per atom
Excess energy over the best structure of this formula in the dataset: 3.8 meV/atom
Density of states at the Fermi level: 3.17 states/eV/cell
Energy relative to the elements: -2.9 eV/f.u.

```
12
Lattice="7.304 -1.934 0.000 7.304 1.934 0.000 -3.075 0.000 8.455" Properties=species:S:1:pos:R:3 pbc="T T T"
K 1.835 0.000 0.345
K 9.698 0.000 8.110
P 0.723 0.000 6.108
P 4.591 0.000 6.461
P 6.942 0.000 1.994
P 10.810 0.000 2.347
Pt -0.490 0.000 3.291
Pt 2.732 0.000 4.935
Pt 4.705 0.000 2.904
Pt 6.828 0.000 5.551
Pt 8.801 0.000 3.520
Pt 12.022 0.000 5.164
```

---

No. 4
A plane-wave DFT calculation with PBE was carried out for an optimized crystal structure of KPPt2.

Properties
Space group: P4/mmm, No. 123
Calculated total energy: -4.21 eV per atom
Density of states at the Fermi level: 1.82 states/eV/cell
Energy relative to the elements: 1.7 eV/f.u.

```
4
Lattice="4.176 0.000 0.000 0.000 4.176 0.000 0.000 0.000 4.095" Properties=species:S:1:pos:R:3 pbc="T T T"
K 0.000 0.000 0.000
P 2.088 2.088 0.000
Pt 0.000 2.088 2.047
Pt 2.088 0.000 2.047
```

---

No. 5
A plane-wave DFT calculation with PBE was carried out for an optimized crystal structure of KP2Pt3.

Properties
Space group: P1, No. 1
Calculated total energy: -5.50 eV per atom
Excess energy over the best structure of this formula in the dataset: 0.0 meV/atom
Density of states at the Fermi level: 3.95 states/eV/cell
Energy relative to the elements: -3.0 eV/f.u.

```
12
Lattice="6.671 0.000 0.000 -3.177 6.019 0.000 -3.115 -1.872 6.913" Properties=species:S:1:pos:R:3 pbc="T T T"
K 0.000 0.000 0.000
K -1.198 1.528 3.724
P -2.950 4.660 3.654
P 0.230 3.922 2.077
P 3.614 2.153 1.103
P 2.223 1.404 4.713
Pt -1.153 3.266 0.380
Pt -3.363 3.261 5.377
Pt 3.353 -0.113 0.908
Pt 0.765 -0.146 5.722
Pt 2.357 -0.587 3.475
Pt 2.248 3.029 2.798
```

---

No. 6
A plane-wave DFT calculation with PBE was carried out for an optimized crystal structure of K2PPt.

Properties
Space group: P4mm, No. 99
Calculated total energy: -3.59 eV per atom
Density of states at the Fermi level: 1.89 states/eV/cell
Energy relative to the elements: -0.7 eV/f.u.

```
4
Lattice="3.447 0.000 0.000 0.000 3.447 0.000 0.000 0.000 9.836" Properties=species:S:1:pos:R:3 pbc="T T T"
K 0.000 0.000 0.000
K 1.723 1.723 4.168
P 0.000 0.000 6.669
Pt 1.723 1.723 7.289
```

---

No. 7
A plane-wave DFT calculation with PBE was carried out for an optimized crystal structure of K6P2Pt.

Properties
Space group: Fm-3m, No. 225
Calculated total energy: -2.37 eV per atom
Excess energy over the best structure of this formula in the dataset: 500.6 meV/atom
Density of states at the Fermi level: 7.93 states/eV/cell
Energy relative to the elements: 2.1 eV/f.u.

```
9
Lattice="0.000 5.592 5.592 5.592 0.000 5.592 5.592 5.592 0.000" Properties=species:S:1:pos:R:3 pbc="T T T"
K 5.592 5.592 2.723
K 5.592 2.723 5.592
K 8.461 5.592 5.592
K 2.723 5.592 5.592
K 5.592 8.461 5.592
K 5.592 5.592 8.461
P 2.796 2.796 2.796
P 8.387 8.387 8.387
Pt 5.592 5.592 5.592
```

---

No. 8
A plane-wave DFT calculation with PBE was carried out for an optimized crystal structure of KPPt2.

Properties
Space group: I-4m2, No. 119
Calculated total energy: -4.18 eV per atom
Density of states at the Fermi level: 2.46 states/eV/cell
Energy relative to the elements: 1.9 eV/f.u.

```
4
Lattice="-2.045 2.045 4.305 2.045 -2.045 4.305 2.045 2.045 -4.305" Properties=species:S:1:pos:R:3 pbc="T T T"
K 0.000 0.000 0.000
P 2.045 0.000 2.153
Pt 0.000 0.000 4.305
Pt 0.000 2.045 2.153
```